Entry 1:
Compound: RbTl2Ag2Te2
Source: the Alexandria database
Functional: PBE
Structure: relaxed

POSCAR file:
```
RbTl2Ag2Te2
1.0
2.398 1.384 11.536
-2.398 1.384 11.536
0.000 -2.769 11.536
Rb Tl Ag Te
1 2 2 2
direct
0.000 0.000 0.000 Rb
0.139 0.139 0.139 Tl
0.861 0.861 0.861 Tl
0.424 0.424 0.424 Ag
0.576 0.576 0.576 Ag
0.261 0.261 0.261 Te
0.739 0.739 0.739 Te
```

As for the density of states at the Fermi level: 0.4244 states/eV/atom.

Entry 2:
Compound: RbTl2AgTe2
Source: the Alexandria database
Functional: PBE
Structure: relaxed

POSCAR file:
```
RbTl2AgTe2
1.0
4.860 0.000 0.000
0.000 11.225 0.000
0.000 0.000 8.210
Rb Tl Ag Te
2 4 2 4
direct
0.000 0.012 0.000 Rb
0.000 0.988 0.500 Rb
0.000 0.369 0.345 Tl
0.000 0.631 0.845 Tl
0.500 0.394 0.978 Tl
0.500 0.606 0.478 Tl
0.500 0.257 0.579 Ag
0.500 0.743 0.079 Ag
0.000 0.280 0.747 Te
0.000 0.720 0.247 Te
0.500 0.178 0.255 Te
0.500 0.822 0.755 Te
```

Entry 3:
Compound: Rb2TmAg2Te4
Source: the Alexandria database
Functional: PBE
Structure: relaxed

POSCAR file:
```
Rb2TmAg2Te4
1.0
8.233 -2.200 0.000
8.233 2.200 0.000
-2.834 0.000 8.400
Rb Tm Ag Te
2 1 2 4
direct
0.131 0.131 0.068 Rb
0.869 0.869 0.932 Rb
0.000 0.000 0.500 Tm
0.318 0.318 0.520 Ag
0.682 0.682 0.480 Ag
0.194 0.194 0.690 Te
0.488 0.488 0.733 Te
0.512 0.512 0.267 Te
0.806 0.806 0.310 Te
```

As for the density of states at the Fermi level: 0.4070 states/eV/atom.

| no. | formation energy without anion corrections (eV per formula unit) |
| --- | --- |
| 1 | -2.213 |
| 2 | -2.656 |
| 3 | -7.516 |